(1)
Fe3Ni2H3 after structural relaxation. Source: Alexandria via LeMat-Bulk, functional GGA-PBE.

abc: 3.6034 4.4116 9.2411
angles: 88.78 90.00 114.10
Each line ends with the local moment (μB).
Positions (direct):
Ni 0.9348 0.8696 0.6205  0.61
Ni 0.3550 0.7101 0.0467  0.49
Ni 0.6545 0.3091 0.9477  0.51
Ni 0.3442 0.6884 0.4536  0.52
Fe 0.7494 0.4988 0.2507  2.50
Fe 0.9599 0.9198 0.8685  2.65
Fe 0.6358 0.2717 0.5716  2.59
Fe 0.2580 0.5161 0.7478  2.46
Fe 0.0512 0.1024 0.3742  2.53
Fe 0.0498 0.0996 0.1255  2.51
H 0.1516 0.3032 0.5654  -0.02
H 0.8357 0.6715 0.4329  -0.01
H 0.1698 0.3396 0.9378  -0.01
H 0.2237 0.4475 0.2465  -0.02
H 0.7667 0.5333 0.7542  -0.01
H 0.8398 0.6796 0.0607  -0.01

- DFT total energy: -5.76 eV per atom
- Size of the total moment: 8.53 μB/f.u.

(2)
Fe2Ni3H2 after structural relaxation. Source: Alexandria via LeMat-Bulk, functional GGA-PBE.

abc: 2.5090 4.3364 6.2995
angles: 109.89 90.00 106.82
Each line ends with the local moment (μB).
Positions (direct):
Ni 0.6077 0.2154 0.4116  0.35
Ni 0.3923 0.7846 0.5884  0.35
Ni 0.5000 0.0000 0.0000  0.61
Fe 0.8282 0.6564 0.1965  2.56
Fe 0.1718 0.3436 0.8035  2.56
H 0.7780 0.5560 0.6774  -0.02
H 0.2220 0.4440 0.3226  -0.02

- Relative energy among the computed polymorphs: 5 meV per atom
- Size of the total moment: 6.25 μB/f.u.

(3)
Fe2NiH after structural relaxation. Source: Alexandria via LeMat-Bulk, functional GGA-PBE.

abc: 4.1490 4.4729 7.7832
angles: 90.00 90.00 90.00
Each line ends with the local moment (μB).
Positions (direct):
Fe 0.7406 0.9126 0.5848  2.37
Fe 0.2406 0.5874 0.9152  2.37
Fe 0.7594 0.9125 0.9151  2.37
Fe 0.7594 0.4126 0.0848  2.37
Fe 0.7406 0.4125 0.4151  2.37
Fe 0.2594 0.5875 0.5849  2.37
Fe 0.2406 0.0875 0.0849  2.37
Fe 0.2594 0.0874 0.4152  2.37
Ni 0.7500 0.4160 0.7500  0.57
Ni 0.2500 0.5840 0.2500  0.57
Ni 0.7500 0.9160 0.2500  0.57
Ni 0.2500 0.0840 0.7500  0.57
H 0.0000 0.7500 0.4203  -0.02
H 0.0000 0.2500 0.5797  -0.02
H 0.5000 0.2500 0.9203  -0.02
H 0.5000 0.7500 0.0797  -0.02

- Relative energy among the computed polymorphs: 38 meV per atom
- Size of the total moment: 5.20 μB/f.u.

(4)
Fe2NiH after structural relaxation. Source: Alexandria via LeMat-Bulk, functional GGA-PBE.

abc: 2.9302 3.9294 3.9294
angles: 120.00 90.00 90.00
Each line ends with the local moment (μB).
Positions (direct):
Ni 0.5000 0.0000 0.0000  0.41
H 0.0000 0.0000 0.0000  0.00
Fe 0.0000 0.3333 0.6667  2.17
Fe 0.0000 0.6667 0.3333  2.17

- Relative energy among the computed polymorphs: 403 meV per atom
- Size of the total moment: 4.70 μB/f.u.

(5)
Fe2NiH after structural relaxation. Source: Alexandria via LeMat-Bulk, functional GGA-PBE.

abc: 2.5159 3.7133 7.7843
angles: 90.00 90.00 90.00
Each line ends with the local moment (μB).
Positions (direct):
Ni 0.5000 0.0000 0.5988  0.61
Ni 0.0000 0.5000 0.0988  0.61
Fe 0.5000 0.0000 0.9262  2.48
Fe 0.5000 0.0000 0.2554  2.48
Fe 0.0000 0.5000 0.7554  2.48
Fe 0.0000 0.5000 0.4262  2.48
H 0.5000 0.5000 0.9267  -0.02
H 0.0000 0.0000 0.4267  -0.02

- Relative energy among the computed polymorphs: 26 meV per atom
- Size of the total moment: 5.46 μB/f.u.

(6)
FeNiH3 after structural relaxation. Source: Alexandria via LeMat-Bulk, functional GGA-PBE.

abc: 4.6828 5.2358 5.2358
angles: 72.53 89.34 89.34
Each line ends with the local moment (μB).
Positions (direct):
H 0.8974 0.9850 0.2089  -0.02
H 0.9174 0.3126 0.4682  -0.01
H 0.7860 0.3845 0.0497  -0.01
H 0.2140 0.6155 0.9503  -0.01
H 0.0826 0.6874 0.5318  -0.01
H 0.3974 0.2089 0.9850  -0.02
H 0.5826 0.5318 0.6874  -0.01
H 0.7140 0.9503 0.6155  -0.01
H 0.6026 0.7911 0.0150  -0.02
H 0.1026 0.0150 0.7911  -0.02
H 0.2860 0.0497 0.3845  -0.01
H 0.4174 0.4682 0.3126  -0.01
Ni 0.6197 0.1805 0.3274  0.13
Ni 0.1197 0.3274 0.1805  0.13
Ni 0.3803 0.8195 0.6726  0.13
Ni 0.8803 0.6726 0.8195  0.13
Fe 0.7500 0.1391 0.8609  2.32
Fe 0.7500 0.6528 0.3472  2.31
Fe 0.2500 0.3472 0.6528  2.31
Fe 0.2500 0.8609 0.1391  2.32

- DFT total energy: -4.78 eV per atom
- Size of the total moment: 2.38 μB/f.u.

Question: Which formula does entry 2 have?
Answer: Fe2Ni3H2